Entry from Alexandria: a geometry-optimized Ce2SiOsC structure (PBE-GGA).

Values from the calculation:
**N(E_F)**: 11.7 states/eV per cell
**V**: 101 Å³/f.u.
**Total energy**: -79.24 eV for the cell shown
**ΔE_f (raw)**: -0.375 eV/atom

a = 6.487 Å, b = 3.997 Å, c = 8.380 Å
α = 90.00°, β = 111.62°, γ = 90.00°
Fractional coordinates of all 10 atoms:
Ce: 0.213 0.250 0.394
Ce: 0.221 0.250 0.973
Ce: 0.779 0.750 0.027
Ce: 0.787 0.750 0.606
Si: 0.290 0.750 0.708
Si: 0.710 0.250 0.292
Os: 0.498 0.750 0.263
Os: 0.502 0.250 0.737
C: 0.172 0.750 0.176
C: 0.828 0.250 0.824

***

Entry from Alexandria: a geometry-optimized CeTh2OsC2 structure (PBE-GGA).

Values from the calculation:
**N(E_F)**: 12.5 states/eV per cell
**V**: 124 Å³/f.u.
**Total energy**: -102.85 eV for the cell shown
**E_form**: -0.162 eV per atom

a = 5.912 Å, b = 11.091 Å, c = 3.790 Å
α = 90.00°, β = 90.00°, γ = 90.00°
Fractional coordinates of all 12 atoms:
Ce: 0.000 0.000 0.000
Ce: 0.500 0.500 0.500
Th: 0.032 0.295 0.500
Th: 0.468 0.795 0.000
Th: 0.532 0.205 0.000
Th: 0.968 0.705 0.500
Os: 0.000 0.500 0.000
Os: 0.500 0.000 0.500
C: 0.219 0.888 0.500
C: 0.281 0.388 0.000
C: 0.719 0.612 0.000
C: 0.781 0.112 0.500

***

Entry from Alexandria: a geometry-optimized CeTh2OsC4 structure (PBE-GGA).

Values from the calculation:
**N(E_F)**: 16.4 states/eV per cell
**V**: 139 Å³/f.u.
**Total energy**: -137.86 eV for the cell shown
**E_form**: -0.004 eV per atom

a = 6.348 Å, b = 6.348 Å, c = 12.555 Å
α = 90.00°, β = 90.00°, γ = 146.71°
Fractional coordinates of all 16 atoms:
Ce: 0.107 0.893 0.750
Ce: 0.893 0.107 0.250
Th: 0.366 0.634 0.541
Th: 0.366 0.634 0.959
Th: 0.634 0.366 0.041
Th: 0.634 0.366 0.459
Os: 0.158 0.842 0.250
Os: 0.842 0.158 0.750
C: 0.000 0.000 0.000
C: 0.000 0.000 0.500
C: 0.269 0.731 0.137
C: 0.269 0.731 0.363
C: 0.418 0.582 0.750
C: 0.582 0.418 0.250
C: 0.731 0.269 0.637
C: 0.731 0.269 0.863

***

Entry from Alexandria: a geometry-optimized CeU2OsC4 structure (PBE-GGA).

Values from the calculation:
**N(E_F)**: 11.7 states/eV per cell
**V**: 121 Å³/f.u.
**Total energy**: -154.53 eV for the cell shown
**E_form**: -0.078 eV per atom

a = 6.104 Å, b = 6.104 Å, c = 11.756 Å
α = 90.00°, β = 90.00°, γ = 146.56°
Fractional coordinates of all 16 atoms:
Ce: 0.104 0.896 0.750
Ce: 0.896 0.104 0.250
U: 0.370 0.630 0.548
U: 0.370 0.630 0.952
U: 0.630 0.370 0.048
U: 0.630 0.370 0.452
Os: 0.154 0.846 0.250
Os: 0.846 0.154 0.750
C: 0.000 0.000 0.000
C: 0.000 0.000 0.500
C: 0.260 0.740 0.116
C: 0.260 0.740 0.384
C: 0.444 0.556 0.750
C: 0.556 0.444 0.250
C: 0.740 0.260 0.616
C: 0.740 0.260 0.884

***

Entry from Alexandria: a geometry-optimized CeY2OsC2 structure (PBE-GGA).

Values from the calculation:
**N(E_F)**: 16.0 states/eV per cell
**V**: 117 Å³/f.u.
**Total energy**: -99.06 eV for the cell shown
**E_form**: -0.165 eV per atom

a = 5.656 Å, b = 11.145 Å, c = 3.722 Å
α = 90.00°, β = 90.00°, γ = 90.00°
Fractional coordinates of all 12 atoms:
Ce: 0.000 0.000 0.000
Ce: 0.500 0.500 0.500
Y: 0.033 0.293 0.500
Y: 0.467 0.793 0.000
Y: 0.533 0.207 0.000
Y: 0.967 0.707 0.500
Os: 0.000 0.500 0.000
Os: 0.500 0.000 0.500
C: 0.235 0.881 0.500
C: 0.265 0.381 0.000
C: 0.735 0.619 0.000
C: 0.765 0.119 0.500

***

Entry from Alexandria: a geometry-optimized Ce2Zn2Os2C structure (PBE-GGA).

Values from the calculation:
**N(E_F)**: 10.1 states/eV per cell
**V**: 129 Å³/f.u.
**Total energy**: -47.43 eV for the cell shown
**E_form**: -0.190 eV per atom

a = 5.743 Å, b = 5.743 Å, c = 7.335 Å
α = 122.38°, β = 122.38°, γ = 40.40°
Fractional coordinates of all 7 atoms:
Ce: 0.066 0.066 0.287
Ce: 0.934 0.934 0.713
Zn: 0.364 0.364 0.337
Zn: 0.636 0.636 0.663
Os: 0.301 0.301 0.937
Os: 0.699 0.699 0.063
C: 0.500 0.500 0.000

***

Entry from Alexandria: a geometry-optimized Ce2PC structure (PBE-GGA).

Values from the calculation:
**N(E_F)**: 21.5 states/eV per cell
**V**: 85 Å³/f.u.
**Total energy**: -117.27 eV for the cell shown
**E_form**: -0.704 eV per atom
**Polymorph energy (0 for the lowest one)**: 0 meV/atom

a = 5.632 Å, b = 5.640 Å, c = 11.998 Å
α = 90.00°, β = 117.18°, γ = 90.00°
Fractional coordinates of all 16 atoms:
Ce: 0.099 0.243 0.105
Ce: 0.099 0.757 0.605
Ce: 0.343 0.238 0.855
Ce: 0.343 0.762 0.355
Ce: 0.657 0.238 0.645
Ce: 0.657 0.762 0.145
Ce: 0.901 0.243 0.395
Ce: 0.901 0.757 0.895
P: 0.382 0.262 0.375
P: 0.382 0.738 0.875
P: 0.618 0.262 0.125
P: 0.618 0.738 0.625
C: 0.078 0.197 0.625
C: 0.078 0.803 0.125
C: 0.922 0.197 0.875
C: 0.922 0.803 0.375

***

Entry from Alexandria: a geometry-optimized Ce4PC structure (PBE-GGA).

Values from the calculation:
**N(E_F)**: 26.1 states/eV per cell
**V**: 135 Å³/f.u.
**Total energy**: -82.66 eV for the cell shown
**E_form**: -0.493 eV per atom

a = 7.515 Å, b = 7.515 Å, c = 6.461 Å
α = 105.69°, β = 105.69°, γ = 119.01°
Fractional coordinates of all 12 atoms:
Ce: 0.071 0.634 0.802
Ce: 0.176 0.300 0.727
Ce: 0.300 0.176 0.227
Ce: 0.366 0.929 0.698
Ce: 0.634 0.071 0.302
Ce: 0.700 0.824 0.773
Ce: 0.824 0.700 0.273
Ce: 0.929 0.366 0.198
P: 0.390 0.610 0.250
P: 0.610 0.390 0.750
C: 0.057 0.943 0.750
C: 0.943 0.057 0.250

***

Entry from Alexandria: a geometry-optimized Ce2PC structure (PBE-GGA).

Values from the calculation:
**N(E_F)**: 4.9 states/eV per cell
**V**: 116 Å³/f.u.
**Total energy**: -26.58 eV for the cell shown
**E_form**: -0.019 eV per atom
**Polymorph energy (0 for the lowest one)**: 685 meV/atom

a = 7.636 Å, b = 7.636 Å, c = 7.636 Å
α = 32.82°, β = 32.82°, γ = 32.82°
Fractional coordinates of all 4 atoms:
Ce: 0.095 0.095 0.095
Ce: 0.905 0.905 0.905
P: 0.500 0.500 0.500
C: 0.000 0.000 0.000

***

Entry from Alexandria: a geometry-optimized CePC structure (PBE-GGA).

Values from the calculation:
**N(E_F)**: 5.9 states/eV per cell
**V**: 52 Å³/f.u.
**Total energy**: -43.10 eV for the cell shown
**E_form**: -0.327 eV per atom

a = 4.460 Å, b = 4.460 Å, c = 5.388 Å
α = 90.83°, β = 90.83°, γ = 78.14°
Fractional coordinates of all 6 atoms:
Ce: 0.189 0.189 0.251
Ce: 0.811 0.811 0.749
P: 0.410 0.410 0.755
P: 0.590 0.590 0.245
C: 0.163 0.163 0.753
C: 0.837 0.837 0.247

***

Entry from Alexandria: a geometry-optimized Ce5P2C2 structure (PBE-GGA).

Values from the calculation:
**N(E_F)**: 36.3 states/eV per cell
**V**: 205 Å³/f.u.
**Total energy**: -128.90 eV for the cell shown
**E_form**: -0.612 eV per atom

a = 10.039 Å, b = 10.039 Å, c = 10.039 Å
α = 58.15°, β = 135.96°, γ = 143.98°
Fractional coordinates of all 18 atoms:
Ce: 0.120 0.976 0.644
Ce: 0.250 0.027 0.277
Ce: 0.250 0.473 0.722
Ce: 0.333 0.476 0.356
Ce: 0.667 0.107 0.278
Ce: 0.667 0.889 0.061
Ce: 0.750 0.527 0.278
Ce: 0.750 0.973 0.723
Ce: 0.829 0.389 0.722
Ce: 0.829 0.607 0.939
P: 0.201 0.354 0.048
P: 0.201 0.652 0.347
P: 0.305 0.152 0.952
P: 0.305 0.854 0.653
C: 0.745 0.589 0.656
C: 0.752 0.252 0.500
C: 0.752 0.752 0.000
C: 0.933 0.089 0.344

***

Entry from Alexandria: a geometry-optimized Ce3PC structure (PBE-GGA).

Values from the calculation:
**N(E_F)**: 43.6 states/eV per cell
**V**: 113 Å³/f.u.
**Total energy**: -140.63 eV for the cell shown
**E_form**: -0.544 eV per atom

a = 8.424 Å, b = 8.424 Å, c = 6.846 Å
α = 100.61°, β = 100.61°, γ = 73.03°
Fractional coordinates of all 20 atoms:
Ce: 0.048 0.233 0.839
Ce: 0.143 0.673 0.535
Ce: 0.233 0.048 0.339
Ce: 0.313 0.471 0.030
Ce: 0.327 0.857 0.965
Ce: 0.471 0.313 0.530
Ce: 0.529 0.687 0.470
Ce: 0.673 0.143 0.035
Ce: 0.687 0.529 0.970
Ce: 0.767 0.952 0.661
Ce: 0.857 0.327 0.465
Ce: 0.952 0.767 0.161
P: 0.082 0.401 0.242
P: 0.401 0.082 0.742
P: 0.599 0.918 0.258
P: 0.918 0.599 0.758
C: 0.250 0.750 0.250
C: 0.408 0.592 0.750
C: 0.592 0.408 0.250
C: 0.750 0.250 0.750